Computed, not measured: a relaxed structure of LaTb7Th3 at the GGA-PBE level of DFT.

Computed properties:
The value obtained for the excess energy over the best structure of this formula in the dataset is 6.5 kJ/mol of atoms. As for the formation energy from the elements: 0.220 eV/atom. For the total DFT energy (no corrections), the calculation gives -5.1984 eV/atom.

a = 7.0974 Å, b = 7.0974 Å, c = 8.6305 Å
α = 90.00°, β = 90.00°, γ = 120.00°
Space group P3m1 (No. 156)
Unique sites:
La  0.0000  0.0000  0.0000
Tb  0.1661  0.3321  0.3462
Tb  0.5016  0.0032  0.0038
Tb  0.6667  0.3333  0.3459
Th  0.3348  0.1674  0.6734